(1)
First-principles (PBE) data for a relaxed Sc2CoPb crystal, as listed in Alexandria.

a = 9.216 Å, b = 9.216 Å, c = 9.216 Å
α = 22.08°, β = 22.08°, γ = 22.08°
Element x y z (fractional)
Co: 0.500 0.500 0.500
Sc: 0.114 0.114 0.114
Sc: 0.886 0.886 0.886
Pb: 0.000 0.000 0.000

formation enthalpy at 0 K = -0.0308 eV/atom
space group = R-3m, No. 166
crystal system = trigonal

(2)
First-principles (PBE) data for a relaxed Pr2ErPuSb4 crystal, as listed in Alexandria.

a = 4.482 Å, b = 7.742 Å, c = 7.744 Å
α = 109.45°, β = 90.00°, γ = 90.00°
Site moments in Bohr magnetons follow the coordinates.
Element x y z (fractional)
Sb: 0.500 0.752 0.761  -0.06
Pu: 0.000 0.000 0.000  5.17
Pr: 0.000 0.500 0.500  -0.02
Sb: 0.000 0.256 0.762  -0.04
Sb: 0.000 0.744 0.238  -0.04
Er: 0.500 0.500 0.000  -0.02
Pr: 0.500 0.000 0.500  0.01
Sb: 0.500 0.248 0.239  -0.06

space group = P2/m, No. 10
raw total energy = -6.6240 eV/atom
crystal system = monoclinic

| no. | spin magnetization (Bohr magnetons per cell) |
| --- | --- |
| 1 | 0.00 |
| 2 | 5.02 |